No. 1
This record from Alexandria describes a relaxed structure of PrAlAg4. The functional is PBE-GGA.

Geometry as POSCAR:
```
PrAlAg4
1.0
9.997 -2.421 0.000
9.997 2.421 0.000
-1.404 0.000 5.129
Pr Al Ag
2 2 8
direct
0.250 0.250 0.227
0.750 0.750 0.773
0.000 0.000 0.500
0.500 0.500 0.000
0.073 0.073 0.000
0.143 0.143 0.569
0.357 0.357 0.784
0.427 0.427 0.354
0.573 0.573 0.646
0.643 0.643 0.216
0.857 0.857 0.431
0.927 0.927 0.000
```

## Properties
The value obtained for the uncorrected energy is -40.72 eV/cell. The calculation puts the total magnetic moment at 0.000 μB/cell. As for the calculated formation energy: -0.07 eV per atom.


No. 2
This record from Alexandria describes a relaxed structure of Pr7Al2Ag2. The functional is PBE-GGA.

Geometry as POSCAR:
```
Pr7Al2Ag2
1.0
4.042 -5.632 0.000
4.042 5.632 0.000
0.000 0.000 7.646
Pr Al Ag
7 2 2
direct
0.000 0.000 0.000
0.000 0.500 0.290
0.000 0.500 0.710
0.500 0.000 0.290
0.500 0.000 0.710
0.500 0.500 0.272
0.500 0.500 0.728
0.162 0.162 0.500
0.838 0.838 0.500
0.288 0.712 0.000
0.712 0.288 0.000
```

## Properties
The value obtained for the uncorrected energy is -46.36 eV/cell. The calculation puts the total magnetic moment at 0.000 μB/cell. As for the calculated formation energy: 0.03 eV per atom.


| no. | D(E_F) (states/eV/cell) |
| --- | --- |
| 1 | 4.8 |
| 2 | 14.1 |